Density functional theory data (meta-GGA SCAN) for a crystal of ZrZnAg2 relaxed with PBEsol.

a = 3.1106 Å, b = 3.1106 Å, c = 7.0719 Å
α = 90.00°, β = 90.00°, γ = 90.00°
Closest atoms and distances in Å follow each position.
Fractional positions:
Zr 0.0000 0.0000 0.0000  4 Zn 2.85, 4 Ag 2.96, 4 Zr 3.11
Zn 0.5000 0.5000 0.7428  4 Ag 2.66, 4 Zr 2.85
Ag 0.0000 0.0000 0.5306  4 Zn 2.66, 4 Ag 2.82
Ag 0.5000 0.5000 0.2800  8 Ag 2.82-3.11, 4 Zr 2.96

Energy of formation from the pure elements   -0.4 eV per formula unit
V   68 Å³/cell
DFT total energy   -26.847 eV/atom


Density functional theory data (meta-GGA SCAN) for a crystal of Zr2ZnAg relaxed with PBEsol.

a = 2.9535 Å, b = 4.8637 Å, c = 5.1229 Å
α = 90.00°, β = 90.00°, γ = 90.00°
Closest atoms and distances in Å follow each position.
Fractional positions:
Zr 0.0000 0.0000 0.0000  4 Ag 2.93, 4 Zn 2.93-2.98, 4 Zr 2.95-3.14
Zr 0.0000 0.5000 0.3891  4 Ag 2.85-3.07, 4 Zn 2.91, 4 Zr 2.95-3.14
Zn 0.5000 0.0000 0.5052  8 Zr 2.91-2.98, 2 Zn 2.95, 2 Ag 3.05
Ag 0.5000 0.5000 0.8648  8 Zr 2.85-3.07, 2 Ag 2.95, 2 Zn 3.05

Energy of formation from the pure elements   -0.7 eV per formula unit
V   74 Å³/cell
DFT total energy   -26.738 eV/atom


Density functional theory data (meta-GGA SCAN) for a crystal of Zr2ZnAg relaxed with PBEsol.

a = 5.8923 Å, b = 8.2458 Å, c = 3.0188 Å
α = 90.00°, β = 90.00°, γ = 90.00°
Closest atoms and distances in Å follow each position.
Fractional positions:
Zr 0.2500 0.2500 0.0000  4 Zr 2.95-3.02, 4 Zn 2.95, 4 Ag 2.95
Zr 0.2500 0.7500 0.0000  4 Zr 2.95-3.02, 4 Zn 2.95, 4 Ag 2.95
Zr 0.7500 0.2500 0.0000  4 Zr 2.95-3.02, 4 Zn 2.95, 4 Ag 2.95
Zr 0.7500 0.7500 0.0000  4 Zr 2.95-3.02, 4 Zn 2.95, 4 Ag 2.95
Zn 0.0000 0.0000 0.5000  2 Ag 2.95, 8 Zr 2.95, 2 Zn 3.02
Zn 0.5000 0.5000 0.5000  2 Ag 2.95, 8 Zr 2.95, 2 Zn 3.02
Ag 0.0000 0.5000 0.5000  2 Zn 2.95, 8 Zr 2.95, 2 Ag 3.02
Ag 0.5000 0.0000 0.5000  2 Zn 2.95, 8 Zr 2.95, 2 Ag 3.02

Energy of formation from the pure elements   -0.6 eV per formula unit
V   147 Å³/cell
DFT total energy   -26.728 eV/atom


Density functional theory data (meta-GGA SCAN) for a crystal of Zr3ZnAg relaxed with PBEsol.

a = 4.8814 Å, b = 4.8814 Å, c = 4.8814 Å
α = 90.00°, β = 90.00°, γ = 90.00°
Closest atoms and distances in Å follow each position.
Fractional positions:
Zr 0.0000 0.0000 0.5000  2 Zn 2.44
Zr 0.0000 0.5000 0.0000  2 Zn 2.44
Zr 0.5000 0.0000 0.0000  2 Zn 2.44
Zn 0.0000 0.0000 0.0000  6 Zr 2.44
Ag 0.5000 0.5000 0.5000  12 Zr 3.45

Energy of formation from the pure elements   3.1 eV per formula unit
V   116 Å³/cell
DFT total energy   -26.771 eV/atom


Density functional theory data (meta-GGA SCAN) for a crystal of ZrZnAg2 relaxed with PBEsol.

a = 4.2974 Å, b = 2.8314 Å, c = 11.3511 Å
α = 90.00°, β = 90.00°, γ = 90.00°
Closest atoms and distances in Å follow each position.
Fractional positions:
Zr 0.0000 0.0000 0.0000  2 Zr 2.83, 4 Zn 2.90, 7 Ag 2.92-3.09
Zr 0.0000 0.5000 0.5000  2 Zr 2.83, 4 Zn 2.90, 7 Ag 2.92-3.09
Zn 0.5000 0.0000 0.6170  2 Ag 2.58, 2 Zn 2.83
Zn 0.5000 0.5000 0.1170  2 Ag 2.58, 2 Zn 2.83
Ag 0.0000 0.0000 0.7424  2 Zn 2.58, 2 Ag 2.83
Ag 0.0000 0.5000 0.2424  2 Zn 2.58, 2 Ag 2.83
Ag 0.5000 0.0000 0.3584  6 Ag 2.83-2.89, 3 Zn 2.94-3.08, 4 Zr 3.03
Ag 0.5000 0.5000 0.8584  6 Ag 2.83-2.89, 3 Zn 2.94-3.08, 4 Zr 3.03

Energy of formation from the pure elements   -0.3 eV per formula unit
V   138 Å³/cell
DFT total energy   -26.800 eV/atom


Density functional theory data (meta-GGA SCAN) for a crystal of Zr2Zn2Ag relaxed with PBEsol.

a = 6.6911 Å, b = 6.6911 Å, c = 3.9736 Å
α = 90.00°, β = 90.00°, γ = 90.00°
Closest atoms and distances in Å follow each position.
Fractional positions:
Zr 0.1692 0.3308 0.0000  6 Zn 2.74-2.84
Zr 0.3308 0.8308 0.0000  6 Zn 2.74-2.84
Zr 0.6692 0.1692 0.0000  6 Zn 2.74-2.84
Zr 0.8308 0.6692 0.0000  6 Zn 2.74-2.84
Zn 0.1308 0.6308 0.5000  1 Zn 2.48, 2 Ag 2.62, 2 Zr 2.74
Zn 0.3692 0.1308 0.5000  1 Zn 2.48, 2 Ag 2.62, 2 Zr 2.74
Zn 0.6308 0.8692 0.5000  1 Zn 2.48, 2 Ag 2.62, 2 Zr 2.74
Zn 0.8692 0.3692 0.5000  1 Zn 2.48, 2 Ag 2.62, 2 Zr 2.74
Ag 0.0000 0.0000 0.5000  4 Zn 2.62
Ag 0.5000 0.5000 0.5000  4 Zn 2.62

Energy of formation from the pure elements   -1.5 eV per formula unit
V   178 Å³/cell
DFT total energy   -24.252 eV/atom


Q: Which formula does entry 6 have?
A: Zr2Zn2Ag